[1]
A plane-wave DFT calculation with GGA-PBE was carried out for a relaxed structure of CsTl4Cd.

Lattice parameters (Å, degrees): 9.127 4.992 9.458 90.00 90.00 90.00
Space group Pmma (No. 51)
Symmetry-distinct sites (fractional):
Cs: 0.250 0.000 0.109
Tl: 0.000 0.000 0.500
Tl: 0.061 0.500 0.782
Tl: 0.250 0.500 0.436
Cd: 0.250 0.000 0.707

Calculated values
Crystal system: orthorhombic
Energy of formation from the pure elements, eV per formula unit: -0.34
Raw total energy, eV/atom: -1.928
Energy above the most stable polymorph in this dataset, meV/atom: 0

[2]
A plane-wave DFT calculation with GGA-PBE was carried out for a relaxed structure of CsTlCd.

Lattice parameters (Å, degrees): 5.8245 5.8245 4.0020 90.00 90.00 120.00
Space group P-6m2 (No. 187)
Symmetry-distinct sites (fractional):
Cs: 0.0000 0.0000 0.0000
Tl: 0.6667 0.3333 0.5000
Cd: 0.3333 0.6667 0.5000

Calculated values
Crystal system: hexagonal
Energy of formation from the pure elements, eV per formula unit: 0.03
Raw total energy, eV/atom: -1.369
Energy above the most stable polymorph in this dataset, meV/atom: 71